## Tb6Dy5Th (PBE)

Data for crystalline Tb6Dy5Th at its relaxed geometry.

Cell: 10.115 10.115 5.831 Å, 106.75 106.75 124.70°
Fractional coordinates of all 12 atoms:
Dy  0.500  0.500  0.500
Dy  0.655  0.345  0.000
Dy  0.845  0.155  0.500
Tb  0.931  0.573  0.752
Dy  0.345  0.655  0.000
Tb  0.069  0.427  0.248
Th  0.000  0.000  0.000
Dy  0.155  0.845  0.500
Tb  0.753  0.753  0.253
Tb  0.427  0.069  0.248
Tb  0.573  0.931  0.752
Tb  0.247  0.247  0.747

Calculated values
E_tot ... -56.7 eV for the cell shown
Space-group type ... No. 71
Energy relative to the elements ... 124.2 meV per atom